# NiP3Pt, optimized geometry, DFT GGA-PBE
# Electronic total energy (eV per atom): -4.98
# Calculated volume (Å³/f.u.): 81
# Symmetry: Pm-3m
# ΔE_f (eV/atom): 0.635
data_NiP3Pt
_chemical_formula_sum 'Ni1 P3 Pt1'
_space_group_name_H-M_alt 'P 1'
_space_group_IT_number 1
_space_group_name_Hall 'P 1'
_cell_length_a 4.327
_cell_length_b 4.327
_cell_length_c 4.327
_cell_angle_alpha 90.00
_cell_angle_beta 90.00
_cell_angle_gamma 90.00
loop_
_atom_site_label
_atom_site_type_symbol
_atom_site_fract_x
_atom_site_fract_y
_atom_site_fract_z
Ni1 Ni 0.000 0.000 0.000
Pt1 Pt 0.500 0.500 0.500
P1 P 0.000 0.500 0.000
P2 P 0.000 0.000 0.500
P3 P 0.500 0.000 0.000

---

# NiPPt2, optimized geometry, DFT GGA-PBE
# Electronic total energy (eV per atom): -6.11
# Calculated volume (Å³/f.u.): 56
# Symmetry: Amm2
# ΔE_f (eV/atom): -0.287
data_NiPPt2
_chemical_formula_sum 'Ni1 P1 Pt2'
_space_group_name_H-M_alt 'P 1'
_space_group_IT_number 1
_space_group_name_Hall 'P 1'
_cell_length_a 3.403
_cell_length_b 2.937
_cell_length_c 5.835
_cell_angle_alpha 75.36
_cell_angle_beta 90.00
_cell_angle_gamma 90.00
loop_
_atom_site_label
_atom_site_type_symbol
_atom_site_fract_x
_atom_site_fract_y
_atom_site_fract_z
Ni1 Ni 0.000 0.533 0.559
Pt1 Pt 0.000 0.827 0.971
Pt2 Pt 0.500 0.172 0.282
P1 P 0.500 0.968 0.688

---

# NiPPt2, optimized geometry, DFT GGA-PBE
# Electronic total energy (eV per atom): -6.05
# Calculated volume (Å³/f.u.): 55
# Symmetry: Fmmm
# ΔE_f (eV/atom): -0.231
data_NiPPt2
_chemical_formula_sum 'Ni2 P2 Pt4'
_space_group_name_H-M_alt 'P 1'
_space_group_IT_number 1
_space_group_name_Hall 'P 1'
_cell_length_a 5.433
_cell_length_b 5.416
_cell_length_c 5.334
_cell_angle_alpha 60.71
_cell_angle_beta 60.39
_cell_angle_gamma 58.90
loop_
_atom_site_label
_atom_site_type_symbol
_atom_site_fract_x
_atom_site_fract_y
_atom_site_fract_z
Ni1 Ni 0.833 0.167 0.167
Ni2 Ni 0.167 0.833 0.833
P1 P 0.760 0.760 0.240
P2 P 0.240 0.240 0.760
Pt1 Pt 0.679 0.321 0.679
Pt2 Pt 0.321 0.679 0.321
Pt3 Pt 0.250 0.250 0.250
Pt4 Pt 0.750 0.750 0.750

---

# NiP2Pt, optimized geometry, DFT GGA-PBE
# Electronic total energy (eV per atom): -5.80
# Calculated volume (Å³/f.u.): 58
# Symmetry: P4mm
# ΔE_f (eV/atom): -0.136
data_NiP2Pt
_chemical_formula_sum 'Ni1 P2 Pt1'
_space_group_name_H-M_alt 'P 1'
_space_group_IT_number 1
_space_group_name_Hall 'P 1'
_cell_length_a 3.381
_cell_length_b 3.381
_cell_length_c 5.038
_cell_angle_alpha 90.00
_cell_angle_beta 90.00
_cell_angle_gamma 90.00
loop_
_atom_site_label
_atom_site_type_symbol
_atom_site_fract_x
_atom_site_fract_y
_atom_site_fract_z
Ni1 Ni 0.500 0.500 0.860
P1 P 0.000 0.000 0.908
P2 P 0.500 0.500 0.307
Pt1 Pt 0.000 0.000 0.426

---

# NiP2Pt, optimized geometry, DFT GGA-PBE
# Electronic total energy (eV per atom): -5.48
# Calculated volume (Å³/f.u.): 55
# Symmetry: Immm
# ΔE_f (eV/atom): 0.180
data_NiP2Pt
_chemical_formula_sum 'Ni1 P2 Pt1'
_space_group_name_H-M_alt 'P 1'
_space_group_IT_number 1
_space_group_name_Hall 'P 1'
_cell_length_a 4.930
_cell_length_b 4.930
_cell_length_c 4.930
_cell_angle_alpha 147.08
_cell_angle_beta 120.61
_cell_angle_gamma 69.59
loop_
_atom_site_label
_atom_site_type_symbol
_atom_site_fract_x
_atom_site_fract_y
_atom_site_fract_z
Ni1 Ni 0.750 0.250 0.500
P1 P 0.983 0.983 0.000
P2 P 0.517 0.517 0.000
Pt1 Pt 0.250 0.750 0.500

---

# NiPPt2, optimized geometry, DFT GGA-PBE
# Electronic total energy (eV per atom): -5.95
# Calculated volume (Å³/f.u.): 55
# Symmetry: P4mm
# ΔE_f (eV/atom): -0.134
data_NiPPt2
_chemical_formula_sum 'Ni1 P1 Pt2'
_space_group_name_H-M_alt 'P 1'
_space_group_IT_number 1
_space_group_name_Hall 'P 1'
_cell_length_a 2.897
_cell_length_b 2.897
_cell_length_c 6.509
_cell_angle_alpha 90.00
_cell_angle_beta 90.00
_cell_angle_gamma 90.00
loop_
_atom_site_label
_atom_site_type_symbol
_atom_site_fract_x
_atom_site_fract_y
_atom_site_fract_z
Ni1 Ni 0.000 0.000 0.545
P1 P 0.500 0.500 0.716
Pt1 Pt 0.000 0.000 0.963
Pt2 Pt 0.500 0.500 0.277